Record 1
## MgCu2Se2 (GGA-PBE)

Data for a relaxed MgCu2Se2 crystal.

Calculated values
calculated density = 5522 kg/m³
magnetic moment = 0.00 μB/f.u.
DOS at the Fermi energy = 1.335 states/eV per cell
total energy = -3.856 eV/atom
energy above the lowest structure with this stoichiometry = 0.004 eV/atom

Geometry as POSCAR:
```
MgCu2Se2
1.0
-4.7673 3.2957 -3.1274
-2.0005 0.3772 3.4471
3.3558 6.0731 1.2845
Mg Se Cu
2 4 4
Direct
0.4457 0.7536 0.7500 Mg
0.9457 0.2464 0.2500 Mg
0.1807 0.7483 0.4337 Se
0.6807 0.2517 0.5663 Se
0.2106 0.2519 0.9338 Se
0.7106 0.7481 0.0662 Se
0.0663 0.2472 0.6125 Cu
0.8251 0.2472 0.8875 Cu
0.5663 0.7528 0.3875 Cu
0.3251 0.7528 0.1125 Cu
```

Record 2
## LiPr2CdAu6 (GGA-PBE)

Data for a relaxed LiPr2CdAu6 crystal.

Calculated values
calculated density = 11912 kg/m³
magnetic moment = 0.00 μB/f.u.
DOS at the Fermi energy = 3.742 states/eV per cell
total energy = -3.710 eV/atom
E_form = -505 meV per atom

Geometry as POSCAR:
```
LiPr2CdAu6
1.0
7.0442 0.4171 -0.1965
0.5938 8.7829 1.2197
3.8415 5.9570 4.2836
Pr Au Li Cd
2 6 1 1
Direct
0.6576 0.2163 0.4690 Pr
0.3424 0.7837 0.5310 Pr
0.0001 0.0323 0.3053 Au
0.9999 0.9677 0.6947 Au
0.1356 0.5911 0.1637 Au
0.8644 0.4089 0.8363 Au
0.5644 0.3704 0.7215 Au
0.4356 0.6296 0.2785 Au
0.5000 0.5000 0.0000 Li
0.0000 0.0000 0.0000 Cd
```

Record 3
## Ba2P2Rh3 (GGA-PBE)

Data for a relaxed Ba2P2Rh3 crystal.

Calculated values
calculated density = 6842 kg/m³
magnetic moment = 0.00 μB/f.u.
DOS at the Fermi energy = 8.243 states/eV per cell
total energy = -6.033 eV/atom
E_form = -788 meV per atom

Geometry as POSCAR:
```
Ba2P2Rh3
1.0
6.7893 0.0000 0.0000
0.0000 5.4322 -2.7373
0.0000 0.0055 8.4902
P Ba Rh
4 4 6
Direct
0.1623 0.7799 0.1273 P
0.8377 0.2201 0.8727 P
0.3377 0.2799 0.6273 P
0.6623 0.7201 0.3727 P
0.3839 0.2925 0.0989 Ba
0.8839 0.2075 0.4011 Ba
0.6161 0.7075 0.9011 Ba
0.1161 0.7925 0.5989 Ba
0.0000 0.0000 0.0000 Rh
0.8991 0.5464 0.1553 Rh
0.6009 0.0464 0.6553 Rh
0.3991 0.9536 0.3447 Rh
0.5000 0.5000 0.5000 Rh
0.1009 0.4536 0.8447 Rh
```

Record 4
## Cr2SiRh (GGA-PBE)

Data for a relaxed Cr2SiRh crystal.

Calculated values
calculated density = 7767 kg/m³
magnetic moment = 0.05 μB/f.u.
DOS at the Fermi energy = 4.683 states/eV per cell
total energy = -8.005 eV/atom

Geometry as POSCAR:
```
Cr2SiRh
1.0
-6.9319 4.7268 -0.2646
-6.8041 4.3173 2.3515
-5.4172 6.2895 1.2493
Rh Si Cr
1 1 2
Direct
0.2500 0.2500 0.2500 Rh
0.7500 0.7500 0.7500 Si
0.4980 0.4980 0.4980 Cr
0.0020 0.0020 0.0020 Cr
```

Record 5
## Ta2FeRh (GGA-PBE)

Data for a relaxed Ta2FeRh crystal.

Calculated values
calculated density = 14287 kg/m³
magnetic moment = 0.31 μB/f.u.
DOS at the Fermi energy = 3.579 states/eV per cell
total energy = -10.151 eV/atom
E_form = -271 meV per atom

Geometry as POSCAR:
```
Ta2FeRh
1.0
-2.6379 -1.1328 0.4426
1.2070 -2.3021 1.2965
-0.3822 3.3612 6.3240
Rh Ta Fe
1 2 1
Direct
0.5000 0.5000 0.7500 Rh
0.0000 0.0000 0.4813 Ta
0.0000 0.0000 0.0187 Ta
0.5000 0.5000 0.2500 Fe
```

Record 6
## TaAgAu2 (GGA-PBE)

Data for a relaxed TaAgAu2 crystal.

Calculated values
calculated density = 14309 kg/m³
magnetic moment = 0.00 μB/f.u.
DOS at the Fermi energy = 10.028 states/eV per cell
total energy = -4.787 eV/atom
E_form = 528 meV per atom

Geometry as POSCAR:
```
TaAgAu2
1.0
7.4923 0.0000 0.0000
0.0000 7.4923 0.0000
3.7461 3.7461 2.8230
Au Ag Ta
4 2 2
Direct
0.1108 0.6250 0.2500 Au
0.6392 0.1250 0.2500 Au
0.8750 0.8892 0.7500 Au
0.3750 0.3608 0.7500 Au
0.5000 0.5000 0.0000 Ag
0.2500 0.7500 0.5000 Ag
0.0000 0.0000 0.0000 Ta
0.7500 0.2500 0.5000 Ta
```